This record from the Alexandria database describes Sr4CaMn2S2O6 after structural relaxation. The functional is PBE with a Hubbard U.

a b c (Å): 3.916 3.916 17.001
angles (deg): 90.00 90.00 90.00
Fractional positions:
Sr  0.000  0.500  0.921
O  0.000  0.500  0.065
Sr  0.000  0.500  0.702
O  0.000  0.000  0.799
Mn  0.000  0.500  0.184
Sr  0.500  0.000  0.298
S  0.000  0.500  0.389
O  0.500  0.500  0.201
Sr  0.500  0.000  0.079
O  0.000  0.000  0.201
O  0.500  0.000  0.935
Mn  0.500  0.000  0.816
Ca  0.000  0.000  0.500
S  0.500  0.000  0.611
O  0.500  0.500  0.799

## Properties
The density of states at the Fermi level is 2.2 states/eV/f.u. The symmetry is P-4m2. The electronic total energy is -6.32 eV/atom.